No. 1
Compound: CaI2O6
Source: Alexandria via LeMat-Bulk
Functional: PBE
Structure: relaxed

```
36
Lattice="7.265 0.000 0.000 0.000 11.491 0.000 -5.255 0.000 7.107" Properties=species:S:1:pos:R:3 pbc="T T T"
Ca -3.689 1.189 7.106
Ca -1.062 4.556 3.553
Ca 3.072 6.935 3.554
Ca 5.699 10.301 0.000
I -0.704 0.870 3.291
I -3.332 4.876 6.844
I -0.543 8.198 3.973
I 2.084 9.038 0.420
I -0.074 2.453 6.687
I 2.553 3.293 3.134
I 5.342 6.615 0.263
I 2.715 10.621 3.816
O -4.116 6.220 5.886
O -1.488 11.016 2.333
O -1.589 2.346 2.658
O -4.216 3.399 6.211
O -1.816 6.895 3.755
O 0.812 10.341 0.202
O 0.934 1.097 2.447
O -1.693 4.649 6.001
O -1.432 1.279 6.383
O 1.196 4.466 2.830
O 1.755 8.589 2.174
O -0.873 8.647 5.727
O 2.883 2.844 1.379
O 0.256 2.901 4.933
O 0.814 7.024 4.277
O 3.442 10.212 0.723
O 3.703 6.842 1.106
O 1.076 10.394 4.659
O 1.198 1.150 6.905
O 3.826 4.596 3.351
O 6.226 8.091 0.896
O 3.599 9.145 4.449
O 3.498 0.475 4.774
O 6.126 5.271 1.221
```

Output
ΔE_f (raw) = -9.5 eV per formula unit
Energy relative to the lowest polymorph listed for this composition = 0 kJ/mol of formula units


No. 2
Compound: PmGdHoHg
Source: Alexandria via LeMat-Bulk
Functional: PBE
Structure: relaxed

```
4
Lattice="0.000 3.848 3.848 3.848 0.000 3.848 3.848 3.848 0.000" Properties=species:S:1:pos:R:3 pbc="T T T"
Pm 0.000 0.000 0.000
Gd 1.924 1.924 1.924
Ho 5.772 5.772 5.772
Hg 3.848 3.848 3.848
```

Output
Energy of formation = -0.04 eV/atom


No. 3
Compound: AcNdH6
Source: Alexandria via LeMat-Bulk
Functional: PBE
Structure: relaxed

```
8
Lattice="1.975 1.140 6.480 -1.975 1.140 6.480 0.000 -2.281 6.480" Properties=species:S:1:pos:R:3 pbc="T T T"
Ac 0.000 0.000 0.000
Nd 0.000 0.000 9.719
H 0.000 0.000 2.517
H 0.000 0.000 4.896
H 0.000 0.000 7.404
H 0.000 0.000 12.035
H 0.000 0.000 14.543
H 0.000 0.000 16.922
```


No. 4
Compound: CaAsRh2
Source: Alexandria via LeMat-Bulk
Functional: PBE
Structure: relaxed

```
4
Lattice="2.110 1.218 5.227 -2.110 1.218 5.227 0.000 -2.437 5.227" Properties=species:S:1:pos:R:3 pbc="T T T"
Ca 0.000 0.000 0.000
As 0.000 0.000 12.696
Rh 0.000 0.000 3.032
Rh 0.000 0.000 7.068
```

Output
Energy of formation = -0.51 eV/atom


Going through the records in order, we get electronic total energy values of -4.93, -5.97, -4.16, -5.85 eV per atom.